(1)
Here is a geometry-optimized LiAl2Re structure from Alexandria. Energies are from GGA-PBEsol.

a b c (Å): 2.7793 2.7793 26.8626
angles (deg): 90.00 90.00 120.00
Last column: nearest neighbours and their distance in Å.
Fractional coordinates of all 12 atoms:
Li  0.0000  0.0000  0.0000  6 Li 2.78, 3 Re 2.78, 3 Al 2.80
Li  0.3333  0.6667  0.6667  6 Li 2.78, 3 Re 2.78, 3 Al 2.80
Li  0.6667  0.3333  0.3333  6 Li 2.78, 3 Re 2.78, 3 Al 2.80
Al  0.0000  0.0000  0.2477  9 Al 2.78-2.79, 3 Li 2.80
Al  0.0000  0.0000  0.4963  3 Re 2.65, 9 Al 2.78-2.79
Al  0.3333  0.6667  0.1629  3 Re 2.65, 9 Al 2.78-2.79
Al  0.3333  0.6667  0.9144  9 Al 2.78-2.79, 3 Li 2.80
Al  0.6667  0.3333  0.5811  9 Al 2.78-2.79, 3 Li 2.80
Al  0.6667  0.3333  0.8296  3 Re 2.65, 9 Al 2.78-2.79
Re  0.0000  0.0000  0.7512  3 Al 2.65, 6 Re 2.78, 3 Li 2.78
Re  0.3333  0.6667  0.4179  3 Al 2.65, 6 Re 2.78, 3 Li 2.78
Re  0.6667  0.3333  0.0845  3 Al 2.65, 6 Re 2.78, 3 Li 2.78

- DOS at the Fermi energy: 7.27 states/eV per cell
- Theoretical density: 6.9 g/cm³
- SG: R3m (160)
- Energy of formation: 0.1012 eV/atom



(2)
Here is a geometry-optimized LiAl2Re structure from Alexandria. Energies are from GGA-PBEsol.

a b c (Å): 2.6532 4.1895 5.2078
angles (deg): 90.00 90.00 90.00
Last column: nearest neighbours and their distance in Å.
Fractional coordinates of all 4 atoms:
Li  0.0000  0.0000  0.0000  5 Al 2.45-2.74, 2 Li 2.65
Al  0.0000  0.0000  0.4704  1 Li 2.45, 2 Al 2.65, 4 Re 2.69
Al  0.5000  0.5000  0.7747  2 Re 2.58-2.63, 2 Al 2.65, 4 Li 2.74
Re  0.5000  0.5000  0.2704  6 Al 2.58-2.69, 2 Re 2.65, 4 Li 2.85

- DOS at the Fermi energy: 1.70 states/eV per cell
- Theoretical density: 7.1 g/cm³
- SG: Pmm2 (25)
- Energy of formation: 0.0392 eV/atom